## CrInCu (PBE)

Data for a relaxed CrInCu crystal.

Results
energy: -0.380 Ry per atom

Cell lengths 3.1423, 3.1423, 10.0128 Å; angles 90.00, 90.00, 90.00 degrees
Space group I4mm (No. 107)
Asymmetric unit:
Cr: 0.0000 0.0000 0.0000
In: 0.0000 0.0000 0.3131
Cu: 0.0000 0.0000 0.6438

## AlBN2F (PBE)

Data for a relaxed AlBN2F crystal.

Results
energy relative to the elements, uncorrected: 183 meV per atom
energy relative to the lowest polymorph listed for this composition: 0.000 eV per atom

Cell lengths 3.3831, 3.3831, 3.4175 Å; angles 90.00, 90.00, 90.00 degrees
Space group P4/mmm (No. 123)
Asymmetric unit:
Al: 0.0000 0.0000 0.0000
B: 0.5000 0.5000 0.5000
N: 0.0000 0.5000 0.5000
F: 0.5000 0.5000 0.0000

## Pm5Ge3Rh3 (PBE)

Data for a relaxed Pm5Ge3Rh3 crystal.

Results
energy: -0.427 Ry per atom

Cell lengths 9.3724, 9.3724, 3.7755 Å; angles 90.00, 90.00, 120.00 degrees
Space group P-62m (No. 189)
Asymmetric unit:
Pm: 0.0000 0.7455 0.0000
Pm: 0.3333 0.6667 0.0000
Ge: 0.0000 0.3779 0.0000
Rh: 0.0000 0.1800 0.5000

## CaZn2Ni (PBE)

Data for a relaxed CaZn2Ni crystal.

Results
energy: -0.178 Ry per atom

Cell lengths 5.3214, 9.6202, 2.9871 Å; angles 90.00, 112.04, 90.00 degrees
Space group C2/m (No. 12)
Asymmetric unit:
Ca: 0.0000 0.0000 0.0000
Zn: 0.2500 0.2500 0.5000
Ni: 0.0000 0.5000 0.0000

## Na2CoRe (PBE)

Data for a relaxed Na2CoRe crystal.

Results
energy relative to the lowest polymorph listed for this composition: 0.242 eV per atom

Cell lengths 6.6741, 6.6741, 6.6741 Å; angles 90.00, 90.00, 90.00 degrees
Space group Fm-3m (No. 225)
Asymmetric unit:
Na: 0.2500 0.2500 0.2500
Co: 0.0000 0.0000 0.0000
Re: 0.0000 0.0000 0.5000

## Hf4Re2Rh (PBE)

Data for a relaxed Hf4Re2Rh crystal.

Results
energy: -0.782 Ry per atom

Cell lengths 6.4650, 6.4650, 6.5385 Å; angles 90.00, 90.00, 90.00 degrees
Space group I4/mmm (No. 139)
Asymmetric unit:
Hf: 0.2500 0.2500 0.2500
Re: 0.0000 0.5000 0.0000
Rh: 0.0000 0.0000 0.0000